[1]
VASP calculation (GGA-PBE) on a geometry-optimized GeTePO2 structure.

Output
**Energy**: -24.32 eV/cell
**Total moment**: 0.7 μB per formula unit

Geometry as POSCAR:
```
GeTePO2
1.0
-0.342 2.772 -2.603
-3.585 -1.106 -0.707
-1.689 3.173 3.601
O P Te Ge
2 1 1 1
Direct
0.500 0.000 0.000 O
0.000 0.500 0.000 O
0.000 0.000 0.500 P
0.500 0.500 0.500 Te
0.000 0.000 0.000 Ge
```

***

[2]
VASP calculation (GGA-PBE) on a geometry-optimized GeTePO2 structure.

Output
**Energy**: -23.97 eV/cell
**Total moment**: 0.5 μB per formula unit

Geometry as POSCAR:
```
GeTePO2
1.0
3.812 0.000 0.000
0.000 4.928 0.000
0.000 0.000 3.812
O Ge P Te
2 1 1 1
Direct
0.000 0.000 0.500 O
0.500 0.000 0.000 O
0.000 0.500 0.000 Ge
0.000 0.000 0.000 P
0.500 0.500 0.500 Te
```

***

[3]
VASP calculation (GGA-PBE) on a geometry-optimized TiGePO2 structure.

Output
**Energy**: -34.23 eV/cell
**Total moment**: 0.0 μB per formula unit

Geometry as POSCAR:
```
TiGePO2
1.0
3.763 0.000 0.000
0.000 3.763 0.000
0.000 0.000 5.291
Ge O Ti P
1 2 1 1
Direct
0.500 0.500 0.500 Ge
0.000 0.500 0.000 O
0.500 0.000 0.000 O
0.000 0.000 0.000 Ti
0.000 0.000 0.500 P
```

***

[4]
VASP calculation (GGA-PBE) on a geometry-optimized TiGePO2 structure.

Output
**Energy**: -31.10 eV/cell
**Total moment**: 0.8 μB per formula unit

Geometry as POSCAR:
```
TiGePO2
1.0
-1.930 -3.043 -0.539
3.030 -1.739 -1.031
0.862 -1.419 4.925
Ti Ge O P
1 1 2 1
Direct
0.500 0.500 0.500 Ti
0.000 0.000 0.000 Ge
0.500 0.000 0.000 O
0.000 0.500 0.000 O
0.000 0.000 0.500 P
```

***

[5]
VASP calculation (GGA-PBE) on a geometry-optimized TlGeP2O structure.

Output
**Energy**: -21.72 eV/cell
**Total moment**: 0.0 μB per formula unit

Geometry as POSCAR:
```
TlGeP2O
1.0
5.030 0.000 0.000
0.000 5.030 0.000
0.000 0.000 3.635
P O Ge Tl
2 1 1 1
Direct
0.500 0.000 0.000 P
0.000 0.500 0.000 P
0.000 0.000 0.500 O
0.000 0.000 0.000 Ge
0.500 0.500 0.500 Tl
```

***

[6]
VASP calculation (GGA-PBE) on a geometry-optimized TlGeP2O structure.

Output
**Energy**: -17.80 eV/cell
**Total moment**: 0.0 μB per formula unit

Geometry as POSCAR:
```
TlGeP2O
1.0
-3.122 2.551 -3.249
1.925 -2.705 -3.973
-2.902 -2.861 0.542
Tl Ge P O
1 1 2 1
Direct
0.000 0.000 0.000 Tl
0.500 0.500 0.500 Ge
0.500 0.000 0.000 P
0.000 0.500 0.000 P
0.000 0.000 0.500 O
```

***

[7]
VASP calculation (GGA-PBE) on a geometry-optimized TlGeP2O8 structure.

Output
**Energy**: -78.53 eV/cell
**Total moment**: 0.3 μB per formula unit

Geometry as POSCAR:
```
TlGeP2O8
1.0
-3.071 2.137 -2.928
0.687 -4.692 -0.290
-5.838 -1.179 5.262
O Ge P Tl
8 1 2 1
Direct
0.708 0.046 0.356 O
0.667 0.333 0.100 O
0.338 0.292 0.356 O
0.954 0.662 0.356 O
0.046 0.338 0.644 O
0.662 0.708 0.644 O
0.333 0.667 0.900 O
0.292 0.954 0.644 O
0.000 0.000 0.500 Ge
0.333 0.667 0.704 P
0.667 0.333 0.296 P
0.000 0.000 0.000 Tl
```

***

[8]
VASP calculation (GGA-PBE) on a geometry-optimized ZrGePO2 structure.

Output
**Energy**: -32.79 eV/cell
**Total moment**: 0.0 μB per formula unit

Geometry as POSCAR:
```
ZrGePO2
1.0
3.780 0.000 0.000
0.000 3.780 0.000
0.000 0.000 4.926
Ge O P Zr
1 2 1 1
Direct
0.000 0.000 0.000 Ge
0.500 0.000 0.000 O
0.000 0.500 0.000 O
0.000 0.000 0.500 P
0.500 0.500 0.500 Zr
```

***

- Look up the energy of the eighth one.
  -32.79 eV/cell